A) Below is a PBEsol-optimized structure of ReOs2Ru, with properties calculated at the meta-GGA SCAN level.

Cell: 2.7030 2.7030 8.9746 Å, 81.34 81.34 60.00°
Closest atoms and distances in Å follow each position.
Fractional coordinates of all 4 atoms:
Os 0.2506 0.2506 0.2483  3 Ru 2.69, 6 Os 2.70, 3 Re 2.72
Os 0.7494 0.7494 0.7517  3 Ru 2.69, 6 Os 2.70, 3 Re 2.72
Ru 0.0000 0.0000 0.0000  6 Os 2.69, 6 Ru 2.70
Re 0.5000 0.5000 0.5000  6 Re 2.70, 6 Os 2.72

Output
DOS at the Fermi energy (states/eV/atom): 0.788
Volume (Å³ per cell): 56
Symmetry: R-3m


B) Below is a PBEsol-optimized structure of ReOs2Ru, with properties calculated at the meta-GGA SCAN level.

Cell: 2.7309 4.3160 4.7278 Å, 90.00 90.00 90.00°
Closest atoms and distances in Å follow each position.
Fractional coordinates of all 4 atoms:
Re 0.0000 0.0000 0.4590  6 Os 2.67-2.74, 4 Ru 2.67, 2 Re 2.73
Ru 0.5000 0.5000 0.2934  4 Re 2.67, 6 Os 2.68-2.74, 2 Ru 2.73
Os 0.0000 0.5000 0.7912  2 Re 2.67, 6 Os 2.67-2.73, 4 Ru 2.72-2.74
Os 0.5000 0.0000 0.9565  6 Os 2.67-2.73, 2 Ru 2.68, 4 Re 2.72-2.74

Output
DOS at the Fermi energy (states/eV/atom): 0.642
Volume (Å³ per cell): 56
Symmetry: Pmm2


Of them, B) has the highest stability.


A) Below is a PBEsol-optimized structure of Re2OsRu, with properties calculated at the meta-GGA SCAN level.

Cell: 2.7412 4.3440 4.7332 Å, 90.00 90.00 90.00°
Closest atoms and distances in Å follow each position.
Fractional coordinates of all 4 atoms:
Re 0.0000 0.0000 0.0411  4 Os 2.68, 4 Re 2.69-2.74, 4 Ru 2.71-2.76
Re 0.0000 0.5000 0.7062  4 Ru 2.68, 4 Re 2.69-2.74, 4 Os 2.73-2.74
Ru 0.5000 0.0000 0.5474  8 Re 2.68-2.76, 2 Os 2.71, 2 Ru 2.74
Os 0.5000 0.5000 0.2053  8 Re 2.68-2.74, 2 Ru 2.71, 2 Os 2.74

Output
DOS at the Fermi energy (states/eV/atom): 0.766
Volume (Å³ per cell): 56
Symmetry: Pmm2


B) Below is a PBEsol-optimized structure of Re2OsRu, with properties calculated at the meta-GGA SCAN level.

Cell: 2.7153 4.6962 4.6962 Å, 109.47 90.00 90.00°
Closest atoms and distances in Å follow each position.
Fractional coordinates of all 4 atoms:
Re 0.0000 0.5000 0.0000  4 Re 2.71-2.72, 4 Os 2.71, 4 Ru 2.71
Re 0.0000 0.0000 0.5000  4 Re 2.71-2.72, 4 Ru 2.71, 4 Os 2.71
Ru 0.5000 0.0000 0.0000  2 Os 2.71, 8 Re 2.71, 2 Ru 2.72
Os 0.5000 0.5000 0.5000  2 Ru 2.71, 8 Re 2.71, 2 Os 2.72

Output
DOS at the Fermi energy (states/eV/atom): 0.668
Volume (Å³ per cell): 56
Symmetry: Cmmm


Of them, A) has the highest stability.


A) Below is a PBEsol-optimized structure of ScRe2Os, with properties calculated at the meta-GGA SCAN level.

Cell: 2.8185 2.8185 9.1374 Å, 81.13 81.13 60.00°
Closest atoms and distances in Å follow each position.
Fractional coordinates of all 4 atoms:
Sc 0.5005 0.5005 0.4985  6 Sc 2.82, 3 Os 2.85, 3 Re 2.88
Re 0.9996 0.9996 0.0011  3 Os 2.68, 9 Re 2.69-2.82
Re 0.7459 0.7459 0.7624  9 Re 2.69-2.82, 3 Sc 2.88
Os 0.2540 0.2540 0.2380  3 Re 2.68, 6 Os 2.82, 3 Sc 2.85

Output
DOS at the Fermi energy (states/eV/atom): 0.698
Volume (Å³ per cell): 62
Symmetry: R3m


B) Below is a PBEsol-optimized structure of ScRe2Os, with properties calculated at the meta-GGA SCAN level.

Cell: 2.8668 4.5795 5.1441 Å, 105.60 106.18 90.00°
Closest atoms and distances in Å follow each position.
Fractional coordinates of all 4 atoms:
Re 0.2300 0.2253 0.4601  6 Re 2.63-2.87, 2 Os 2.64, 1 Sc 2.89
Re 0.7700 0.7747 0.5399  6 Re 2.63-2.87, 2 Os 2.64, 1 Sc 2.89
Os 0.5000 0.0000 0.0000  4 Re 2.64, 4 Sc 2.70, 2 Os 2.87
Sc 0.0000 0.5000 0.0000  4 Os 2.70, 2 Sc 2.87, 6 Re 2.89-2.98

Output
DOS at the Fermi energy (states/eV/atom): 0.849
Volume (Å³ per cell): 62
Symmetry: C2/m


Of them, B) has the highest stability.


A) Below is a PBEsol-optimized structure of ScRe2Os, with properties calculated at the meta-GGA SCAN level.

Cell: 2.8027 4.9510 4.9510 Å, 116.84 90.00 90.00°
Closest atoms and distances in Å follow each position.
Fractional coordinates of all 4 atoms:
Sc 0.5000 0.0000 0.0000  2 Os 2.59, 2 Sc 2.80, 8 Re 2.84
Re 0.0000 0.0000 0.5000  4 Re 2.59-2.80, 4 Sc 2.84, 4 Os 2.84
Re 0.0000 0.5000 0.0000  4 Re 2.59-2.80, 4 Os 2.84, 4 Sc 2.84
Os 0.5000 0.5000 0.5000  2 Sc 2.59, 2 Os 2.80, 8 Re 2.84

Output
DOS at the Fermi energy (states/eV/atom): 0.797
Volume (Å³ per cell): 61
Symmetry: Cmmm


B) Below is a PBEsol-optimized structure of ScRe2Os, with properties calculated at the meta-GGA SCAN level.

Cell: 3.0695 4.3658 4.5180 Å, 90.00 90.00 90.00°
Closest atoms and distances in Å follow each position.
Fractional coordinates of all 4 atoms:
Re 0.0000 0.0000 0.0000  4 Re 2.67, 4 Sc 2.73
Re 0.5000 0.5000 0.0000  4 Re 2.67, 4 Os 2.73
Sc 0.5000 0.0000 0.5000  4 Os 2.67, 4 Re 2.73
Os 0.0000 0.5000 0.5000  4 Sc 2.67, 4 Re 2.73

Output
DOS at the Fermi energy (states/eV/atom): 0.478
Volume (Å³ per cell): 61
Symmetry: Pmmm


Of them, B) has the highest stability.


A) Below is a PBEsol-optimized structure of ScReOs, with properties calculated at the meta-GGA SCAN level.

Cell: 4.2540 4.2540 4.2540 Å, 60.00 60.00 60.00°
Closest atoms and distances in Å follow each position.
Fractional coordinates of all 3 atoms:
Os 0.5000 0.5000 0.5000  4 Re 2.61
Sc 0.0000 0.0000 0.0000  4 Re 2.61
Re 0.2500 0.2500 0.2500  4 Sc 2.61, 4 Os 2.61

Output
DOS at the Fermi energy (states/eV/atom): 0.816
Volume (Å³ per cell): 54
Symmetry: F-43m


B) Below is a PBEsol-optimized structure of ScReOs, with properties calculated at the meta-GGA SCAN level.

Cell: 4.2358 4.2358 4.2358 Å, 60.00 60.00 60.00°
Closest atoms and distances in Å follow each position.
Fractional coordinates of all 3 atoms:
Os 0.0000 0.0000 0.0000  4 Sc 2.59
Re 0.5000 0.5000 0.5000  4 Sc 2.59
Sc 0.2500 0.2500 0.2500  4 Re 2.59, 4 Os 2.59

Output
DOS at the Fermi energy (states/eV/atom): 1.826
Volume (Å³ per cell): 54
Symmetry: F-43m


Of them, A) has the highest stability.


A) Below is a PBEsol-optimized structure of ReOsSe2, with properties calculated at the meta-GGA SCAN level.

Cell: 2.8354 2.8354 8.8834 Å, 90.00 90.00 118.80°
Closest atoms and distances in Å follow each position.
Fractional coordinates of all 4 atoms:
Se 0.0000 0.0000 0.2498  2 Re 2.65, 2 Os 2.65, 6 Se 2.84-2.89
Se 0.0000 0.0000 0.7502  2 Re 2.65, 2 Os 2.65, 6 Se 2.84-2.89
Re 0.5000 0.5000 0.0000  4 Se 2.65, 6 Re 2.84-2.89
Os 0.5000 0.5000 0.5000  4 Se 2.65, 6 Os 2.84-2.89

Output
DOS at the Fermi energy (states/eV/atom): 1.151
Volume (Å³ per cell): 63
Symmetry: Cmmm


B) Below is a PBEsol-optimized structure of ReOsSe2, with properties calculated at the meta-GGA SCAN level.

Cell: 2.9774 4.2784 5.1565 Å, 101.21 90.00 110.36°
Closest atoms and distances in Å follow each position.
Fractional coordinates of all 4 atoms:
Re 0.5000 0.0000 0.0000  6 Se 2.58-2.63
Os 0.0000 0.0000 0.5000  6 Se 2.57-2.65
Se 0.7556 0.5112 0.7540  3 Os 2.57-2.65, 3 Re 2.58-2.63
Se 0.2444 0.4888 0.2460  3 Os 2.57-2.65, 3 Re 2.58-2.63

Output
DOS at the Fermi energy (states/eV/atom): 0.476
Volume (Å³ per cell): 60
Symmetry: C2/m


C) Below is a PBEsol-optimized structure of ReOsSe2, with properties calculated at the meta-GGA SCAN level.

Cell: 2.9023 2.9023 8.0733 Å, 90.00 90.00 90.00°
Closest atoms and distances in Å follow each position.
Fractional coordinates of all 4 atoms:
Os 0.0000 0.0000 0.5095  4 Se 2.59, 4 Re 2.78
Re 0.5000 0.5000 0.7426  4 Se 2.57, 4 Os 2.78
Se 0.0000 0.0000 0.9340  4 Re 2.57
Se 0.5000 0.5000 0.3139  4 Os 2.59

Output
DOS at the Fermi energy (states/eV/atom): 0.408
Volume (Å³ per cell): 68
Symmetry: P4mm


D) Below is a PBEsol-optimized structure of ReOsSe2, with properties calculated at the meta-GGA SCAN level.

Cell: 3.0580 5.0113 5.6982 Å, 96.77 90.00 107.76°
Closest atoms and distances in Å follow each position.
Fractional coordinates of all 4 atoms:
Se 0.9528 0.9056 0.9052  2 Os 2.49, 2 Re 2.60
Se 0.7160 0.4320 0.3190  2 Re 2.43, 1 Os 2.46
Os 0.5567 0.1134 0.6279  3 Se 2.46-2.49, 3 Re 2.57-2.71
Re 0.2745 0.5489 0.6479  4 Se 2.43-2.60, 3 Os 2.57-2.71

Output
DOS at the Fermi energy (states/eV/atom): 0.479
Volume (Å³ per cell): 83
Symmetry: Cm


Of them, C) has the highest stability.